Entry 1:
AlBiN2 | PBE | relaxed

extended XYZ file:
```
8
Lattice="-2.546 2.546 4.650 2.546 -2.546 4.650 2.546 2.546 -4.650" Properties=species:S:1:pos:R:3 pbc="T T T"
Al 0.000 0.000 0.000
Al 0.000 2.546 2.325
Bi 2.546 0.000 2.325
Bi 0.000 0.000 4.650
N 3.818 0.830 -1.163
N 0.830 1.273 1.163
N -1.273 1.716 3.488
N 1.716 1.273 5.813
```

Values from the calculation:
* total magnetization: 0.000 μB/cell
* uncorrected formation energy: -0.14 eV/atom

---

Entry 2:
AgBiIr2F | PBE | relaxed

extended XYZ file:
```
5
Lattice="4.368 0.000 0.000 0.000 4.368 0.000 0.000 0.000 4.812" Properties=species:S:1:pos:R:3 pbc="T T T"
Ag 0.000 0.000 0.000
Bi 2.184 2.184 0.000
Ir 0.000 2.184 2.406
Ir 2.184 0.000 2.406
F 2.184 2.184 2.406
```

Values from the calculation:
* total magnetization: 0.000 μB/cell
* uncorrected formation energy: 0.89 eV/atom

---

Entry 3:
UCoAs2 | PBE | relaxed

extended XYZ file:
```
4
Lattice="1.486 0.858 9.293 -1.486 0.858 9.293 0.000 -1.716 9.293" Properties=species:S:1:pos:R:3 pbc="T T T"
U 0.000 0.000 0.000
Co 0.000 0.000 13.940
As 0.000 0.000 2.952
As 0.000 0.000 24.928
```

Values from the calculation:
* total magnetization: 1.796 μB/cell
* formation energy from the elements: 0.05 eV per atom

---

Entry 4:
La3BiP | PBE | relaxed

extended XYZ file:
```
10
Lattice="3.709 -8.179 0.000 3.709 8.179 0.000 0.000 0.000 5.503" Properties=species:S:1:pos:R:3 pbc="T T T"
La 1.854 4.089 2.751
La 3.709 5.808 0.000
La 2.017 0.000 2.751
La 1.854 -4.089 2.751
La 5.401 0.000 2.751
La 3.709 -5.808 0.000
Bi 3.709 2.252 0.000
Bi 3.709 -2.252 0.000
P 3.709 6.273 2.751
P 3.709 -6.273 2.751
```

Values from the calculation:
* total magnetization: 0.000 μB/cell
* formation energy from the elements: -0.91 eV per atom

---

Entry 5:
Ce5PuAl2 | PBE | relaxed

extended XYZ file:
```
8
Lattice="6.193 0.000 0.000 -2.799 5.526 0.000 -1.704 -2.758 5.671" Properties=species:S:1:pos:R:3 pbc="T T T"
Ce 0.000 0.000 0.000
Ce -2.305 1.284 3.321
Ce -1.413 2.729 0.771
Ce -0.043 -0.053 5.667
Ce 2.269 -1.341 3.321
Pu 3.071 -0.026 0.807
Al 0.817 1.368 2.753
Al 2.540 4.102 2.718
```

Values from the calculation:
* total magnetization: 4.696 μB/cell
* formation energy from the elements: -0.16 eV per atom

---

Entry 6:
ZrFe2 | PBE | relaxed

extended XYZ file:
```
6
Lattice="3.865 0.000 0.000 -1.933 3.347 0.000 0.000 0.000 7.111" Properties=species:S:1:pos:R:3 pbc="T T T"
Zr 0.000 0.000 1.778
Zr 0.000 0.000 5.333
Fe 0.000 2.231 0.180
Fe 0.000 2.231 3.375
Fe 1.933 1.116 3.736
Fe 1.933 1.116 6.931
```

Values from the calculation:
* total magnetization: 5.191 μB/cell
* formation energy from the elements: -0.02 eV per atom

---

Entry 7:
YTiBi2Rh | PBE | relaxed

extended XYZ file:
```
5
Lattice="5.673 0.000 0.000 0.000 5.673 0.000 0.000 0.000 4.869" Properties=species:S:1:pos:R:3 pbc="T T T"
Y 0.000 0.000 0.000
Ti 0.000 0.000 2.434
Bi 0.000 2.836 0.000
Bi 2.836 0.000 0.000
Rh 2.836 2.836 2.434
```

Values from the calculation:
* total magnetization: 0.000 μB/cell
* formation energy from the elements: 1.31 eV per atom

---

Entry 8:
NaAs2O | PBE | relaxed

extended XYZ file:
```
8
Lattice="-2.554 2.554 6.914 2.554 -2.554 6.914 2.554 2.554 -6.914" Properties=species:S:1:pos:R:3 pbc="T T T"
Na 0.000 0.000 0.000
Na 0.000 2.554 3.457
As 1.277 2.362 -1.729
As 2.746 1.277 1.729
As 1.277 0.192 5.186
As -0.192 1.277 8.643
O 2.554 0.000 3.457
O 0.000 0.000 6.914
```

Values from the calculation:
* total magnetization: 0.000 μB/cell
* uncorrected formation energy: -0.22 eV/atom

---

Entry 9:
AcGa4Ag2Pd | PBE | relaxed

extended XYZ file:
```
8
Lattice="2.228 1.286 9.422 -2.228 1.286 9.422 0.000 -2.573 9.422" Properties=species:S:1:pos:R:3 pbc="T T T"
Ac 0.000 0.000 0.000
Ga 0.000 0.000 3.756
Ga 0.000 0.000 11.439
Ga 0.000 0.000 16.828
Ga 0.000 0.000 24.511
Ag 0.000 0.000 6.724
Ag 0.000 0.000 21.542
Pd 0.000 0.000 14.133
```

Values from the calculation:
* total magnetization: 0.000 μB/cell
* formation energy from the elements: -0.35 eV per atom

---

Entry 10:
Pt3AuC | PBE | relaxed

extended XYZ file:
```
5
Lattice="4.974 0.000 0.000 0.000 4.974 0.000 0.000 0.000 4.974" Properties=species:S:1:pos:R:3 pbc="T T T"
Pt 0.000 0.000 2.487
Pt 0.000 2.487 0.000
Pt 2.487 0.000 0.000
Au 0.000 0.000 0.000
C 2.487 2.487 2.487
```

Values from the calculation:
* total magnetization: 1.603 μB/cell
* formation energy from the elements: 2.82 eV per atom

---

Entry 11:
Th4ReSbSe2 | PBE | relaxed

extended XYZ file:
```
8
Lattice="7.475 0.000 0.000 0.000 4.229 0.000 -2.474 0.000 7.292" Properties=species:S:1:pos:R:3 pbc="T T T"
Th 1.131 0.000 1.582
Th -0.083 2.114 5.660
Th 5.084 2.114 1.632
Th 3.869 0.000 5.711
Re 0.000 2.114 0.000
Sb -1.237 0.000 3.646
Se 3.737 0.000 0.000
Se 2.500 2.114 3.646
```

Values from the calculation:
* total magnetization: 0.000 μB/cell
* uncorrected formation energy: -0.94 eV/atom

---

Entry 12:
LaTaNb3 | PBE | relaxed

extended XYZ file:
```
5
Lattice="5.022 0.000 0.000 0.000 5.022 0.000 0.000 0.000 5.022" Properties=species:S:1:pos:R:3 pbc="T T T"
La 0.000 0.000 0.000
Ta 2.511 2.511 2.511
Nb 0.000 2.511 2.511
Nb 2.511 0.000 2.511
Nb 2.511 2.511 0.000
```

Values from the calculation:
* total magnetization: 0.000 μB/cell
* formation energy from the elements: 0.97 eV per atom